(1)
4
Lattice="0.0000 3.0743 3.0743 3.0743 0.0000 3.0743 3.0743 3.0743 0.0000" Properties=species:S:1:pos:R:3 comment="PBE CuIrPtRh, optimized geometry" vol_a3_per_cell=58.11 final_energy_ev_per_atom=-6.354 formation_energy_ev_per_fu=0.93 pbc="T T T"
Cu 0.0000 0.0000 0.0000
Ir 3.0743 3.0743 3.0743
Pt 1.5371 1.5371 1.5371
Rh 4.6114 4.6114 4.6114


(2)
14
Lattice="-3.5348 3.5378 4.9933 3.5348 -3.5378 4.9933 3.5348 3.5378 -4.9933" Properties=species:S:1:pos:R:3 comment="PBE CuIrPtS4, optimized geometry" vol_a3_per_cell=249.77 final_energy_ev_per_atom=-5.456 raw_formation_energy_ev_per_atom=-0.383 pbc="T T T"
Cu 0.0000 1.7689 1.2224
Cu 3.5348 1.7689 3.7708
Ir 3.5348 0.0000 0.0000
Ir 0.0000 0.0000 4.9933
Pt 1.7674 1.7689 -2.4966
Pt 1.7674 -1.7689 2.4966
S 3.5348 -0.1363 2.3744
S 1.9394 1.7689 -0.0894
S 5.1302 1.7689 -0.0894
S 3.5348 3.4015 -2.3744
S 0.0000 0.1363 7.3676
S -1.5954 1.7689 5.0827
S 1.5954 1.7689 5.0827
S 0.0000 3.6741 2.6189


What did the second record say?
14
Lattice="-3.5348 3.5378 4.9933 3.5348 -3.5378 4.9933 3.5348 3.5378 -4.9933" Properties=species:S:1:pos:R:3 comment="PBE CuIrPtS4, optimized geometry" vol_a3_per_cell=249.77 final_energy_ev_per_atom=-5.456 raw_formation_energy_ev_per_atom=-0.383 pbc="T T T"
Cu 0.0000 1.7689 1.2224
Cu 3.5348 1.7689 3.7708
Ir 3.5348 0.0000 0.0000
Ir 0.0000 0.0000 4.9933
Pt 1.7674 1.7689 -2.4966
Pt 1.7674 -1.7689 2.4966
S 3.5348 -0.1363 2.3744
S 1.9394 1.7689 -0.0894
S 5.1302 1.7689 -0.0894
S 3.5348 3.4015 -2.3744
S 0.0000 0.1363 7.3676
S -1.5954 1.7689 5.0827
S 1.5954 1.7689 5.0827
S 0.0000 3.6741 2.6189